DFT (GGA-PBE) results for crystalline Nd2TcBr at its relaxed geometry.

Results
The value obtained for the formation energy from raw total energies is 0.171 eV/atom. Its space-group type is No. 166. The total magnetization comes out at 0.00 μB per formula unit. The calculated total energy comes out at -20.889 eV/f.u. For the energy relative to the lowest polymorph listed for this composition, the calculation gives 2.89 eV/f.u.

a = 10.0936 Å, b = 10.0936 Å, c = 10.0936 Å
α = 20.08°, β = 20.08°, γ = 20.08°
Fractional positions:
Nd: 0.0851 0.0851 0.0851
Nd: 0.9149 0.9149 0.9149
Tc: 0.0000 0.0000 0.0000
Br: 0.5000 0.5000 0.5000